! Rb4Ag2BiSb (PBE-GGA, relaxed); values from VASP
! Space group: Amm2 (38)
! DFT total energy: -20.5 eV per cell
&SYSTEM
  ibrav = 0, nat = 8, ntyp = 4
/
ATOMIC_SPECIES
Ag 107.87 Ag.upf
Sb 121.76 Sb.upf
Rb 85.47 Rb.upf
Bi 208.98 Bi.upf
CELL_PARAMETERS angstrom
6.673 0.000 0.000
0.000 5.570 4.242
0.000 -5.570 4.242
ATOMIC_POSITIONS crystal
Ag 0.747 0.997 0.997
Sb 0.500 0.741 0.741
Rb 0.500 0.173 0.516
Bi 0.000 0.263 0.263
Rb 0.000 0.486 0.827
Rb 0.500 0.516 0.173
Rb 0.000 0.827 0.486
Ag 0.253 0.997 0.997

***

! Cs2TlCuBr6 (PBE-GGA, relaxed); values from VASP
! Space group: C2/m (12)
! DFT total energy: -27.9 eV per cell
&SYSTEM
  ibrav = 0, nat = 10, ntyp = 4
/
ATOMIC_SPECIES
Cu 63.55 Cu.upf
Br 79.90 Br.upf
Cs 132.91 Cs.upf
Tl 204.38 Tl.upf
CELL_PARAMETERS angstrom
-7.801 -0.651 -0.259
-3.745 -4.359 5.321
3.296 6.784 2.113
ATOMIC_POSITIONS crystal
Cu 0.500 0.500 0.500
Br 0.736 0.736 0.737
Cs 0.750 0.750 0.250
Br 0.264 0.737 0.264
Cs 0.250 0.250 0.750
Br 0.737 0.264 0.264
Br 0.736 0.263 0.736
Br 0.263 0.736 0.736
Tl 0.000 0.000 0.000
Br 0.264 0.264 0.263

***

! ZnCoP2 (PBE-GGA, relaxed); values from VASP
! Space group: I-42d (122)
! DFT total energy: -38.8 eV per cell
! Total moment: 0.0 μB per formula unit
&SYSTEM
  ibrav = 0, nat = 8, ntyp = 3
/
ATOMIC_SPECIES
Co 58.93 Co.upf
P 30.97 P.upf
Zn 65.41 Zn.upf
CELL_PARAMETERS angstrom
0.819 -6.335 0.163
1.350 -1.847 5.967
-4.672 3.645 -2.392
ATOMIC_POSITIONS crystal
Co 0.250 0.750 0.500
P 0.171 0.625 0.046
Zn 0.750 0.250 0.500
P 0.875 0.829 0.454
P 0.375 0.421 0.546
Co 0.500 0.500 0.000
P 0.579 0.125 0.954
Zn 0.000 0.000 0.000

***

! TbSi2TcAg (PBE-GGA, relaxed); values from VASP
! Space group: I-4m2 (119)
! DFT total energy: -30.9 eV per cell
! Total moment: 0.0 μB per formula unit
&SYSTEM
  ibrav = 0, nat = 5, ntyp = 4
/
ATOMIC_SPECIES
Si 28.09 Si.upf
Tb 158.93 Tb.upf
Tc 98.00 Tc.upf
Ag 107.87 Ag.upf
CELL_PARAMETERS angstrom
-2.060 2.060 5.169
2.060 -2.060 5.169
2.060 2.060 -5.169
ATOMIC_POSITIONS crystal
Si 0.635 0.135 0.500
Tb 0.250 0.750 0.500
Tc 0.500 0.500 0.000
Ag 0.000 0.000 0.000
Si 0.865 0.365 0.500

***

Volume
In order: 315; 340; 141; 88
Unit: Å³ per cell